No. 1
Material: Cr5Fe3H12
Method: DFT, PBE
State: relaxed

CIF file:
```
data_Cr5Fe3H12
_chemical_formula_sum 'Cr40 Fe24 H96'
_space_group_name_H-M_alt 'I a -3 d'
_space_group_IT_number 230
_space_group_name_Hall '-I 4bd 2c 3'
_cell_length_a 10.223
_cell_length_b 10.223
_cell_length_c 10.223
_cell_angle_alpha 90.00
_cell_angle_beta 90.00
_cell_angle_gamma 90.00
loop_
_atom_site_label
_atom_site_fract_x
_atom_site_fract_y
_atom_site_fract_z
_atom_site_occupancy
Cr1 0.000 0.000 0.000 1
Cr2 0.000 0.250 0.375 1
Fe1 0.000 0.250 0.125 1
H1 0.007 0.073 0.654 1
```

The calculation puts the electronic total energy at -5.4988 eV per atom. Its crystal system is cubic. The magnetic moment is 0.435 μB/atom.


No. 2
Material: CsTaBe
Method: DFT, PBE
State: relaxed

CIF file:
```
data_CsTaBe
_chemical_formula_sum 'Cs4 Ta4 Be4'
_space_group_name_H-M_alt 'F -4 3 m'
_space_group_IT_number 216
_space_group_name_Hall 'F -4 2 3'
_cell_length_a 6.782
_cell_length_b 6.782
_cell_length_c 6.782
_cell_angle_alpha 90.00
_cell_angle_beta 90.00
_cell_angle_gamma 90.00
loop_
_atom_site_label
_atom_site_fract_x
_atom_site_fract_y
_atom_site_fract_z
_atom_site_occupancy
Cs1 0.000 0.000 0.000 1
Ta1 0.250 0.250 0.750 1
Be1 0.000 0.000 0.500 1
```

The calculation puts the electronic total energy at -3.1634 eV per atom. Its crystal system is cubic. The formation energy is 2.314 eV/atom. The magnetic moment is 0.000 μB/atom.


No. 3
Material: SmYHoAl
Method: DFT, PBE
State: relaxed

CIF file:
```
data_SmYHoAl
_chemical_formula_sum 'Sm4 Y4 Ho4 Al4'
_space_group_name_H-M_alt 'F -4 3 m'
_space_group_IT_number 216
_space_group_name_Hall 'F -4 2 3'
_cell_length_a 7.613
_cell_length_b 7.613
_cell_length_c 7.613
_cell_angle_alpha 90.00
_cell_angle_beta 90.00
_cell_angle_gamma 90.00
loop_
_atom_site_label
_atom_site_fract_x
_atom_site_fract_y
_atom_site_fract_z
_atom_site_occupancy
Sm1 0.000 0.000 0.000 1
Y1 0.000 0.000 0.500 1
Ho1 0.250 0.250 0.250 1
Al1 0.250 0.250 0.750 1
```

The calculation puts the electronic total energy at -4.9360 eV per atom. Its crystal system is cubic. The formation energy is -0.060 eV/atom. The magnetic moment is 0.084 μB/atom.


No. 4
Material: Cd2RuCl
Method: DFT, PBE
State: relaxed

CIF file:
```
data_Cd2RuCl
_chemical_formula_sum 'Cd2 Ru1 Cl1'
_space_group_name_H-M_alt 'P 1 m 1'
_space_group_IT_number 6
_space_group_name_Hall 'P -2y'
_cell_length_a 3.164
_cell_length_b 4.716
_cell_length_c 5.124
_cell_angle_alpha 90.00
_cell_angle_beta 90.08
_cell_angle_gamma 90.00
loop_
_atom_site_label
_atom_site_fract_x
_atom_site_fract_y
_atom_site_fract_z
_atom_site_occupancy
Cd1 0.000 0.000 0.000 1
Cd2 0.002 0.500 0.640 1
Ru1 0.501 0.500 0.132 1
Cl1 0.502 0.000 0.460 1
```

For the formation energy from raw total energies, the calculation gives 0.226 eV per atom. The calculation puts the electronic total energy at -3.0123 eV per atom. Its crystal system is monoclinic. The magnetic moment is 0.322 μB/atom.